Entry from Alexandria via LeMat-Bulk: a crystal of LaTlAu2 relaxed with PBEsol (SCAN).

## Properties
total energy: -256.7 eV per formula unit
ΔE_f: -17.08 kcal/mol of atoms
SG: Fm-3m
theoretical density: 13.32 g cm⁻³
E above lowest polymorph: 0 meV per atom

Cell: 7.163 7.163 7.163 Å, 90.00 90.00 90.00°
Positions (direct):
La (0.000, 0.000, 0.000)
La (0.000, 0.500, 0.500)
La (0.500, 0.000, 0.500)
La (0.500, 0.500, 0.000)
Tl (0.000, 0.000, 0.500)
Tl (0.000, 0.500, 0.000)
Tl (0.500, 0.000, 0.000)
Tl (0.500, 0.500, 0.500)
Au (0.250, 0.250, 0.250)
Au (0.250, 0.250, 0.750)
Au (0.250, 0.750, 0.250)
Au (0.250, 0.750, 0.750)
Au (0.750, 0.250, 0.250)
Au (0.750, 0.250, 0.750)
Au (0.750, 0.750, 0.250)
Au (0.750, 0.750, 0.750)


Entry from Alexandria via LeMat-Bulk: a crystal of BeOsBr2 relaxed with PBEsol (SCAN).

## Properties
formation energy without anion corrections: 53.5 kJ/mol of atoms
total energy: -112.9 eV per formula unit
SG: Cmm2
theoretical density: 8.03 g cm⁻³
E above lowest polymorph: 0 meV per atom

Cell: 3.004 5.630 8.781 Å, 90.00 90.00 90.00°
Positions (direct):
Be (0.000, 0.000, 0.000)
Be (0.500, 0.500, 0.000)
Os (0.000, 0.500, 0.781)
Os (0.500, 0.000, 0.781)
Br (0.000, 0.000, 0.556)
Br (0.000, 0.500, 0.177)
Br (0.500, 0.000, 0.177)
Br (0.500, 0.500, 0.556)


Entry from Alexandria via LeMat-Bulk: a crystal of Co3C4 relaxed with PBEsol (SCAN).

## Properties
total energy: -83.4 eV per formula unit
ΔE_f: 29.43 kcal/mol of atoms
SG: P-43m
theoretical density: 4.83 g cm⁻³
E above lowest polymorph: 191 meV per atom

Cell: 4.260 4.260 4.260 Å, 90.00 90.00 90.00°
Positions (direct):
Co (0.000, 0.000, 0.500)
Co (0.000, 0.500, 0.000)
Co (0.500, 0.000, 0.000)
C (0.224, 0.224, 0.224)
C (0.224, 0.776, 0.776)
C (0.776, 0.224, 0.776)
C (0.776, 0.776, 0.224)


Entry from Alexandria via LeMat-Bulk: a crystal of CaZrFe2 relaxed with PBEsol (SCAN).

## Properties
total energy: -75.2 eV per formula unit
ΔE_f: 8.40 kcal/mol of atoms
SG: P4/mmm
theoretical density: 5.94 g cm⁻³

Cell: 4.644 4.644 3.152 Å, 90.00 90.00 90.00°
Positions (direct):
Ca (0.000, 0.000, 0.000)
Zr (0.500, 0.500, 0.000)
Fe (0.000, 0.500, 0.500)
Fe (0.500, 0.000, 0.500)


Entry from Alexandria via LeMat-Bulk: a crystal of Cs2GaAgCl6 relaxed with PBEsol (SCAN).

## Properties
formation energy without anion corrections: -148.9 kJ/mol of atoms
total energy: -186.6 eV per formula unit
SG: Fm-3m
theoretical density: 4.19 g cm⁻³

Cell: 7.166 7.166 7.166 Å, 60.00 60.00 60.00°
Positions (direct):
Cs (0.250, 0.250, 0.250)
Cs (0.750, 0.750, 0.750)
Ga (0.000, 0.000, 0.000)
Ag (0.500, 0.500, 0.500)
Cl (0.236, 0.236, 0.764)
Cl (0.236, 0.764, 0.236)
Cl (0.236, 0.764, 0.764)
Cl (0.764, 0.236, 0.236)
Cl (0.764, 0.236, 0.764)
Cl (0.764, 0.764, 0.236)


Entry from Alexandria via LeMat-Bulk: a crystal of BeTc2Ir relaxed with PBEsol (SCAN).

## Properties
total energy: -146.3 eV per formula unit
ΔE_f: -4.41 kcal/mol of atoms
SG: P4/mmm
theoretical density: 13.35 g cm⁻³

Cell: 2.719 2.719 6.683 Å, 90.00 90.00 90.00°
Positions (direct):
Be (0.000, 0.000, 0.000)
Tc (0.500, 0.500, 0.216)
Tc (0.500, 0.500, 0.784)
Ir (0.000, 0.000, 0.500)


Entry from Alexandria via LeMat-Bulk: a crystal of HfFeGe2 relaxed with PBEsol (SCAN).

## Properties
total energy: -120.7 eV per formula unit
ΔE_f: -10.08 kcal/mol of atoms
SG: Pbam
theoretical density: 10.77 g cm⁻³

Cell: 8.973 9.985 7.836 Å, 90.00 90.00 90.00°
Positions (direct):
Hf (0.166, 0.179, 0.000)
Hf (0.175, 0.451, 0.242)
Hf (0.175, 0.451, 0.758)
Hf (0.325, 0.951, 0.242)
Hf (0.325, 0.951, 0.758)
Hf (0.334, 0.679, 0.000)
Hf (0.666, 0.321, 0.000)
Hf (0.675, 0.049, 0.242)
Hf (0.675, 0.049, 0.758)
Hf (0.825, 0.549, 0.242)
Hf (0.825, 0.549, 0.758)
Hf (0.834, 0.821, 0.000)
Fe (0.000, 0.000, 0.245)
Fe (0.000, 0.000, 0.755)
Fe (0.091, 0.745, 0.250)
Fe (0.091, 0.745, 0.750)
Fe (0.409, 0.245, 0.250)
Fe (0.409, 0.245, 0.750)
Fe (0.500, 0.500, 0.245)
Fe (0.500, 0.500, 0.755)
Fe (0.591, 0.755, 0.250)
Fe (0.591, 0.755, 0.750)
Fe (0.909, 0.255, 0.250)
Fe (0.909, 0.255, 0.750)
Ge (0.040, 0.621, 0.000)
Ge (0.044, 0.622, 0.500)
Ge (0.123, 0.901, 0.500)
Ge (0.125, 0.897, 0.000)
Ge (0.159, 0.181, 0.343)
Ge (0.159, 0.181, 0.657)
Ge (0.341, 0.681, 0.343)
Ge (0.341, 0.681, 0.657)
Ge (0.375, 0.397, 0.000)
Ge (0.377, 0.401, 0.500)
Ge (0.456, 0.122, 0.500)
Ge (0.460, 0.121, 0.000)
Ge (0.540, 0.879, 0.000)
Ge (0.544, 0.878, 0.500)
Ge (0.623, 0.599, 0.500)
Ge (0.625, 0.603, 0.000)
Ge (0.659, 0.319, 0.343)
Ge (0.659, 0.319, 0.657)
Ge (0.841, 0.819, 0.343)
Ge (0.841, 0.819, 0.657)
Ge (0.875, 0.103, 0.000)
Ge (0.877, 0.099, 0.500)
Ge (0.956, 0.378, 0.500)
Ge (0.960, 0.379, 0.000)


Entry from Alexandria via LeMat-Bulk: a crystal of Nd3CuSiS7 relaxed with PBEsol (SCAN).

## Properties
formation energy without anion corrections: -173.2 kJ/mol of atoms
total energy: -244.9 eV per formula unit
SG: P6_3
theoretical density: 4.99 g cm⁻³

Cell: 10.053 10.053 5.694 Å, 90.00 90.00 120.00°
Positions (direct):
Nd (0.126, 0.357, 0.000)
Nd (0.231, 0.874, 0.000)
Nd (0.357, 0.231, 0.500)
Nd (0.643, 0.769, 0.000)
Nd (0.769, 0.126, 0.500)
Nd (0.874, 0.643, 0.500)
Cu (0.000, 0.000, 0.479)
Cu (0.000, 0.000, 0.979)
Si (0.333, 0.667, 0.585)
Si (0.667, 0.333, 0.085)
S (0.088, 0.253, 0.488)
S (0.109, 0.586, 0.729)
S (0.164, 0.912, 0.488)
S (0.253, 0.164, 0.988)
S (0.333, 0.667, 0.215)
S (0.414, 0.523, 0.729)
S (0.477, 0.891, 0.729)
S (0.523, 0.109, 0.229)
S (0.586, 0.477, 0.229)
S (0.667, 0.333, 0.715)
S (0.747, 0.836, 0.488)
S (0.836, 0.088, 0.988)
S (0.891, 0.414, 0.229)
S (0.912, 0.747, 0.988)


Entry from Alexandria via LeMat-Bulk: a crystal of KLi3Co relaxed with PBEsol (SCAN).

## Properties
total energy: -30.2 eV per formula unit
ΔE_f: 12.23 kcal/mol of atoms
SG: Pm-3m
theoretical density: 1.61 g cm⁻³

Cell: 4.967 4.967 4.967 Å, 90.00 90.00 90.00°
Positions (direct):
K (0.000, 0.000, 0.000)
Li (0.000, 0.500, 0.500)
Li (0.500, 0.000, 0.500)
Li (0.500, 0.500, 0.000)
Co (0.500, 0.500, 0.500)


Entry from Alexandria via LeMat-Bulk: a crystal of CrTeOs2 relaxed with PBEsol (SCAN).

## Properties
formation energy without anion corrections: 84.9 kJ/mol of atoms
total energy: -195.9 eV per formula unit
SG: Cmmm
theoretical density: 14.52 g cm⁻³

Cell: 2.909 4.818 9.136 Å, 90.00 90.00 90.00°
Positions (direct):
Cr (0.000, 0.000, 0.000)
Cr (0.500, 0.500, 0.000)
Te (0.000, 0.000, 0.500)
Te (0.500, 0.500, 0.500)
Os (0.000, 0.500, 0.213)
Os (0.000, 0.500, 0.787)
Os (0.500, 0.000, 0.213)
Os (0.500, 0.000, 0.787)